DFT (GGA+U) results for NpMn2CoO6 after structural relaxation.

a b c (Å): 5.382 5.534 8.047
angles (deg): 90.00 89.50 90.00
Last column: magnetic moment on the atom in μB.
Positions (direct):
O1 0.321 0.687 0.059  0.01
O2 0.631 0.078 0.257  0.01
O3 0.679 0.313 0.941  0.01
O4 0.369 0.922 0.743  0.01
O5 0.181 0.191 0.082  0.01
O6 0.319 0.691 0.418  0.01
O7 0.819 0.809 0.918  0.01
O8 0.869 0.578 0.243  0.01
O9 0.821 0.813 0.559  0.01
O10 0.131 0.422 0.757  0.01
O11 0.681 0.309 0.582  0.01
O12 0.179 0.187 0.441  0.01
Mn1 0.510 0.549 0.759  4.61
Mn2 0.490 0.451 0.241  4.61
Mn3 0.010 0.951 0.259  4.61
Mn4 0.990 0.049 0.741  4.61
Np1 0.000 0.500 0.000  1.57
Np2 0.500 0.000 0.500  1.57
Co1 0.000 0.500 0.500  2.69
Co2 0.500 0.000 0.000  2.69

Results
**Electronic total energy**: -164.91 eV/cell
**Crystal system**: monoclinic
**SG**: No. 14
**Volume**: 11.98 Å³/atom